(1)
VASP calculation (GGA+U) on a relaxed structure of Fe2SeO. Values from VASP.

Quantum ESPRESSO input file:
```
&SYSTEM
  ibrav = 0, nat = 8, ntyp = 3
/
ATOMIC_SPECIES
Fe 55.84 Fe.upf
Se 78.96 Se.upf
O 16.00 O.upf
ATOMIC_POSITIONS angstrom
Fe 3.9442 0.8658 -1.3175
Fe 0.8658 1.3147 1.3175
Fe -1.3147 1.7637 3.9524
Fe 1.7637 1.3147 6.5874
Se 2.6295 0.0000 2.6350
Se 0.0000 0.0000 5.2699
O 0.0000 0.0000 0.0000
O 0.0000 2.6295 2.6350
CELL_PARAMETERS angstrom
-2.6295 2.6295 5.2699
2.6295 -2.6295 5.2699
2.6295 2.6295 -5.2699
```

Computed properties:
Its density of states at the Fermi level is 0.00 states/eV per cell. Its total energy is -5.750 eV/atom.

=====

(2)
VASP calculation (GGA+U) on a relaxed structure of FeSe4O10. Values from VASP.

Quantum ESPRESSO input file:
```
&SYSTEM
  ibrav = 0, nat = 30, ntyp = 3
/
ATOMIC_SPECIES
Fe 55.84 Fe.upf
Se 78.96 Se.upf
O 16.00 O.upf
ATOMIC_POSITIONS angstrom
Fe 0.0000 0.0000 0.0000
Fe 0.0000 3.5076 5.2635
Se 1.3224 1.0541 3.0665
Se 1.3224 2.4535 8.3301
Se 1.7685 4.5491 1.1628
Se 1.7685 5.9736 6.4263
Se 4.3143 1.0416 6.4263
Se 4.3143 2.4660 1.1628
Se 4.7604 4.5616 8.3301
Se 4.7604 5.9611 3.0665
O 0.0000 0.0000 3.8673
O 0.0000 3.5076 9.1308
O 0.6684 1.2656 1.4952
O 0.6684 2.2420 6.7588
O 0.9710 0.9807 9.0607
O 0.9710 2.5269 3.7972
O 1.6252 4.7239 5.2781
O 1.6252 5.7988 0.0146
O 2.6221 5.2144 2.4538
O 2.6221 5.3083 7.7174
O 3.0414 0.0000 5.4970
O 3.0414 3.5076 0.2334
O 3.4606 1.7068 7.7174
O 3.4606 1.8008 2.4538
O 4.4575 1.2164 0.0146
O 4.4575 2.2912 5.2781
O 5.1118 4.4883 3.7972
O 5.1118 6.0344 9.0607
O 5.4143 4.7731 6.7588
O 5.4143 5.7496 1.4952
CELL_PARAMETERS angstrom
6.0827 0.0000 0.0000
0.0000 7.0151 0.0000
0.0000 0.0000 10.5271
```

Computed properties:
Its density of states at the Fermi level is 9.92 states/eV per cell. Its total energy is -5.358 eV/atom.

=====

(3)
VASP calculation (GGA+U) on a relaxed structure of FeSe2O. Values from VASP.

Quantum ESPRESSO input file:
```
&SYSTEM
  ibrav = 0, nat = 4, ntyp = 3
/
ATOMIC_SPECIES
Fe 55.84 Fe.upf
Se 78.96 Se.upf
O 16.00 O.upf
ATOMIC_POSITIONS angstrom
Fe 0.0000 0.0000 0.0000
Se 0.0000 0.0000 7.8683
Se 0.0000 0.0000 11.6885
O 0.0000 0.0000 9.7784
CELL_PARAMETERS angstrom
1.9283 1.1133 6.5190
-1.9283 1.1133 6.5190
0.0000 -2.2266 6.5190
```

Computed properties:
Its density of states at the Fermi level is 1.41 states/eV per cell. Its total energy is -4.306 eV/atom.

=====

(4)
VASP calculation (GGA+U) on a relaxed structure of Sm2Fe2Se2O3. Values from VASP.

Quantum ESPRESSO input file:
```
&SYSTEM
  ibrav = 0, nat = 9, ntyp = 4
/
ATOMIC_SPECIES
Sm 150.36 Sm.upf
Fe 55.84 Fe.upf
Se 78.96 Se.upf
O 16.00 O.upf
ATOMIC_POSITIONS angstrom
Sm 0.0000 0.0000 3.5589
Sm 0.0000 0.0000 15.2052
Fe 2.0317 0.0000 0.0000
Fe 0.0000 2.0317 0.0000
Se 0.0000 0.0000 7.4943
Se 0.0000 0.0000 11.2698
O 0.0000 0.0000 0.0000
O 2.0317 0.0000 4.6910
O 0.0000 2.0317 4.6910
CELL_PARAMETERS angstrom
-2.0317 2.0317 9.3820
2.0317 -2.0317 9.3820
2.0317 2.0317 -9.3820
```

Computed properties:
Its density of states at the Fermi level is 0.00 states/eV per cell. Its total energy is -6.801 eV/atom.

=====

(5)
VASP calculation (GGA+U) on a relaxed structure of Sr3Fe2Se6O18. Values from VASP.

Quantum ESPRESSO input file:
```
&SYSTEM
  ibrav = 0, nat = 58, ntyp = 4
/
ATOMIC_SPECIES
Sr 87.62 Sr.upf
Fe 55.84 Fe.upf
Se 78.96 Se.upf
O 16.00 O.upf
ATOMIC_POSITIONS angstrom
Sr -2.6217 0.6063 16.7624
Sr -1.8360 -1.9673 23.4673
Sr 0.7857 -2.5736 16.7624
Sr -0.7857 2.5736 23.4673
Sr 1.8360 1.9673 16.7624
Sr 2.6217 -0.6063 23.4673
Fe 0.0000 0.0000 0.0000
Fe 0.0000 0.0000 10.0574
Fe 0.0000 0.0000 20.1148
Fe 0.0000 0.0000 30.1723
Se -2.5439 -0.0221 12.2214
Se -1.9137 -2.5957 18.9264
Se -3.2048 0.3595 21.3033
Se 1.2911 -2.1921 12.2214
Se -1.2528 -2.2141 28.0083
Se 1.2911 -2.9552 21.3033
Se -1.2911 2.9552 18.9263
Se 1.2528 2.2141 12.2214
Se -1.2911 2.1921 28.0083
Se 3.2048 -0.3595 18.9264
Se 1.9137 2.5957 21.3033
Se 2.5439 0.0221 28.0083
O -1.3867 -0.9111 8.8445
O -1.3156 -3.7998 17.9015
O -3.9485 -0.7605 22.3281
O -0.5158 -3.6164 14.6586
O -1.3156 -1.3475 15.6232
O -0.0957 -1.6565 11.2704
O -3.3898 -1.3615 25.5711
O -1.3867 0.9111 11.2704
O -2.8740 2.2549 14.6586
O -0.5158 -1.5308 18.8661
O -0.0957 1.6565 8.8445
O -1.5836 -0.3187 21.3635
O 1.4824 -0.7453 8.8445
O -2.6329 3.0392 17.9015
O -1.0678 1.2121 18.8661
O -1.8248 0.4656 24.6065
O -0.5092 1.8131 15.6232
O 1.4824 0.7453 11.2704
O -1.4824 -0.7453 28.9593
O 0.5092 -1.8131 24.6065
O 1.8248 -0.4656 15.6232
O 1.0678 -1.2121 21.3636
O 2.6329 -3.0392 22.3282
O -1.4824 0.7453 31.3852
O 1.5836 0.3187 18.8661
O 0.0957 -1.6565 31.3852
O 0.5158 1.5308 21.3636
O 2.8740 -2.2549 25.5711
O 1.3867 -0.9111 28.9593
O 3.3898 1.3615 14.6586
O 0.0957 1.6565 28.9593
O 1.3156 1.3475 24.6065
O 0.5158 3.6164 25.5711
O 3.9485 0.7605 17.9015
O 1.3156 3.7998 22.3281
O 1.3867 0.9111 31.3852
CELL_PARAMETERS angstrom
4.4577 2.5736 13.4099
-4.4577 2.5736 13.4099
0.0000 -5.1473 13.4099
```

Computed properties:
Its density of states at the Fermi level is 0.00 states/eV per cell. Its total energy is -5.878 eV/atom.

=====

(6)
VASP calculation (GGA+U) on a relaxed structure of SrFe2Se4O12. Values from VASP.

Quantum ESPRESSO input file:
```
&SYSTEM
  ibrav = 0, nat = 19, ntyp = 4
/
ATOMIC_SPECIES
Sr 87.62 Sr.upf
Fe 55.84 Fe.upf
Se 78.96 Se.upf
O 16.00 O.upf
ATOMIC_POSITIONS angstrom
Sr 0.0000 0.0000 0.0000
Fe -0.0942 0.0000 3.6491
Fe 3.6145 2.7290 0.0000
Se 1.4128 2.7290 2.8347
Se 2.8152 0.0000 5.6853
Se 4.2255 0.0000 1.6128
Se 5.6279 2.7290 4.4635
O 0.4560 1.3913 2.2316
O 0.4560 4.0667 2.2316
O 1.8178 0.0000 4.2915
O 2.1199 1.2812 6.6571
O 2.1199 4.1768 6.6571
O 2.7962 2.7290 1.8346
O 4.2445 2.7290 5.4635
O 4.9208 1.2812 0.6411
O 4.9208 4.1768 0.6411
O 5.2229 0.0000 3.0066
O 6.5847 1.3913 5.0665
O 6.5847 4.0667 5.0665
CELL_PARAMETERS angstrom
7.2291 0.0000 0.0000
0.0000 5.4581 0.0000
-0.1884 0.0000 7.2981
```

Computed properties:
Its density of states at the Fermi level is 0.00 states/eV per cell. Its total energy is -5.824 eV/atom.

=====

(7)
VASP calculation (GGA+U) on a relaxed structure of SrFe2Se2O. Values from VASP.

Quantum ESPRESSO input file:
```
&SYSTEM
  ibrav = 0, nat = 12, ntyp = 4
/
ATOMIC_SPECIES
Sr 87.62 Sr.upf
Fe 55.84 Fe.upf
Se 78.96 Se.upf
O 16.00 O.upf
ATOMIC_POSITIONS angstrom
Sr 6.7093 0.0000 2.5107
Sr -0.0046 2.0527 7.5366
Fe 2.4709 2.0253 4.1717
Fe 2.4785 2.0325 0.8581
Fe 4.2338 4.0780 5.8756
Fe 4.2263 4.0852 9.1892
Se 1.6794 4.0985 9.5310
Se 1.6838 4.0948 5.5436
Se 5.0210 2.0421 4.5036
Se 5.0253 2.0458 0.5163
O 1.4524 2.0647 2.5133
O 5.2523 0.0120 7.5339
CELL_PARAMETERS angstrom
6.7131 0.0000 0.0000
0.0000 4.1055 0.0000
-0.0084 0.0000 10.0472
```

Computed properties:
Its density of states at the Fermi level is 0.00 states/eV per cell. Its total energy is -5.417 eV/atom.

=====

(8)
VASP calculation (GGA+U) on a relaxed structure of TiFeSeO5. Values from VASP.

Quantum ESPRESSO input file:
```
&SYSTEM
  ibrav = 0, nat = 16, ntyp = 4
/
ATOMIC_SPECIES
Ti 47.87 Ti.upf
Fe 55.84 Fe.upf
Se 78.96 Se.upf
O 16.00 O.upf
ATOMIC_POSITIONS angstrom
Ti 1.9108 2.0196 0.0000
Ti 0.0448 -2.0196 3.3683
Fe 1.0225 3.6694 5.0524
Fe 2.8885 -3.6694 1.6841
Se 1.0225 0.6306 5.0524
Se 2.8885 -0.6306 1.6841
O -0.0164 1.8810 5.7057
O 1.7923 0.0704 0.0607
O 2.8885 2.1151 1.6841
O -0.0737 -0.0704 3.4290
O 2.0615 1.8810 4.3991
O 1.8496 -1.8810 2.3374
O 3.9847 0.0704 3.3076
O 1.0225 -2.1151 5.0524
O 2.1187 -0.0704 6.6759
O 3.9274 -1.8810 1.0308
CELL_PARAMETERS angstrom
3.8215 -4.0392 0.0000
3.8215 4.0392 0.0000
-3.7320 0.0000 6.7366
```

Computed properties:
Its total energy is -6.872 eV/atom.

=====

(9)
VASP calculation (GGA+U) on a relaxed structure of TlFeSe2O. Values from VASP.

Quantum ESPRESSO input file:
```
&SYSTEM
  ibrav = 0, nat = 5, ntyp = 4
/
ATOMIC_SPECIES
Tl 204.38 Tl.upf
Fe 55.84 Fe.upf
Se 78.96 Se.upf
O 16.00 O.upf
ATOMIC_POSITIONS angstrom
Tl 0.0000 0.0000 0.0000
Fe 0.0000 0.0000 2.7454
Se 0.0000 2.6954 0.0000
Se 2.6954 0.0000 0.0000
O 2.6954 2.6954 2.7454
CELL_PARAMETERS angstrom
5.3907 0.0000 0.0000
0.0000 5.3907 0.0000
0.0000 0.0000 5.4908
```

Computed properties:
Its density of states at the Fermi level is 7.25 states/eV per cell. Its total energy is -2.704 eV/atom.

=====

(10)
VASP calculation (GGA+U) on a relaxed structure of TlFeSe2O8. Values from VASP.

Quantum ESPRESSO input file:
```
&SYSTEM
  ibrav = 0, nat = 12, ntyp = 4
/
ATOMIC_SPECIES
Tl 204.38 Tl.upf
Fe 55.84 Fe.upf
Se 78.96 Se.upf
O 16.00 O.upf
ATOMIC_POSITIONS angstrom
Tl 0.0000 0.0000 0.0000
Fe 0.0000 0.0000 4.3499
Se 0.0000 3.0195 6.1949
Se 2.6149 1.5097 2.5049
O -0.4479 1.4915 5.6581
O -1.0993 4.1713 5.6581
O 1.5156 0.3579 3.0418
O 0.0000 3.0195 7.8428
O 2.6149 1.5097 0.8571
O 1.5472 3.3956 5.6581
O 2.1671 3.0377 3.0418
O 4.1621 1.1336 3.0418
CELL_PARAMETERS angstrom
5.2299 0.0000 0.0000
-2.6149 4.5292 0.0000
0.0000 0.0000 8.6999
```

Computed properties:
Its density of states at the Fermi level is 0.00 states/eV per cell. Its total energy is -5.380 eV/atom.

=====

(11)
VASP calculation (GGA+U) on a relaxed structure of TlFeSe2O8. Values from VASP.

Quantum ESPRESSO input file:
```
&SYSTEM
  ibrav = 0, nat = 12, ntyp = 4
/
ATOMIC_SPECIES
Tl 204.38 Tl.upf
Fe 55.84 Fe.upf
Se 78.96 Se.upf
O 16.00 O.upf
ATOMIC_POSITIONS angstrom
Tl 0.0000 0.0000 0.0000
Fe 0.0000 0.0000 13.1524
Se 0.0000 0.0000 6.1325
Se 0.0000 0.0000 20.1723
O -1.6215 -0.1606 11.9453
O -0.6716 -1.4845 14.3595
O 0.0000 0.0000 7.7861
O 0.9498 -1.3239 11.9453
O -0.9498 1.3239 14.3595
O 0.0000 0.0000 18.5188
O 0.6716 1.4845 11.9453
O 1.6215 0.1606 14.3595
CELL_PARAMETERS angstrom
2.5384 1.4655 8.7683
-2.5384 1.4655 8.7683
0.0000 -2.9311 8.7683
```

Computed properties:
Its density of states at the Fermi level is 0.00 states/eV per cell. Its total energy is -5.422 eV/atom.

=====

(12)
VASP calculation (GGA+U) on a relaxed structure of Tl3FeSe2O6. Values from VASP.

Quantum ESPRESSO input file:
```
&SYSTEM
  ibrav = 0, nat = 12, ntyp = 4
/
ATOMIC_SPECIES
Tl 204.38 Tl.upf
Fe 55.84 Fe.upf
Se 78.96 Se.upf
O 16.00 O.upf
ATOMIC_POSITIONS angstrom
Tl 0.0000 0.0000 0.0000
Tl 0.0000 3.4448 4.9519
Tl 2.9833 1.7224 2.4707
Fe 0.0000 0.0000 3.7113
Se 0.0000 3.4448 1.5814
Se 2.9833 1.7224 5.8412
O 0.0000 1.8649 2.3096
O -1.3682 4.2347 2.3096
O 1.6151 0.9325 5.1131
O 1.3682 4.2347 2.3096
O 4.3515 0.9325 5.1131
O 2.9833 3.3023 5.1131
CELL_PARAMETERS angstrom
5.9666 0.0000 0.0000
-2.9833 5.1672 0.0000
0.0000 0.0000 7.4226
```

Computed properties:
Its density of states at the Fermi level is 3.31 states/eV per cell. Its total energy is -4.794 eV/atom.

=====

(13)
VASP calculation (GGA+U) on a relaxed structure of TlFeSeO5. Values from VASP.

Quantum ESPRESSO input file:
```
&SYSTEM
  ibrav = 0, nat = 16, ntyp = 4
/
ATOMIC_SPECIES
Tl 204.38 Tl.upf
Fe 55.84 Fe.upf
Se 78.96 Se.upf
O 16.00 O.upf
ATOMIC_POSITIONS angstrom
Tl 1.7920 2.8634 0.0000
Tl 0.7184 -2.8634 2.9891
Fe 3.0472 5.5863 1.4945
Fe 1.9736 -5.5863 4.4836
Se 1.9736 0.3333 4.4836
Se 3.0472 -0.3333 1.4945
O 1.0907 0.4315 0.5849
O 3.0472 3.6505 1.4945
O 0.0171 -0.4315 3.5740
O 1.5233 1.4623 5.6903
O 2.4238 1.4623 3.2770
O 2.5970 -1.4623 2.7012
O 3.4975 -1.4623 0.2879
O 5.0038 0.4315 2.4041
O 1.9736 -3.6505 4.4836
O 3.9301 -0.4315 5.3932
CELL_PARAMETERS angstrom
3.5841 -5.7268 0.0000
3.5841 5.7268 0.0000
-2.1473 0.0000 5.9782
```

Computed properties:
Its total energy is -5.299 eV/atom.

=====

(14)
VASP calculation (GGA+U) on a relaxed structure of Tl2FeSeO. Values from VASP.

Quantum ESPRESSO input file:
```
&SYSTEM
  ibrav = 0, nat = 5, ntyp = 4
/
ATOMIC_SPECIES
Tl 204.38 Tl.upf
Fe 55.84 Fe.upf
Se 78.96 Se.upf
O 16.00 O.upf
ATOMIC_POSITIONS angstrom
Tl 0.0000 2.8281 0.0000
Tl 2.8281 0.0000 0.0000
Fe 0.0000 0.0000 1.8748
Se 2.8281 2.8281 1.8748
O 0.0000 0.0000 0.0000
CELL_PARAMETERS angstrom
5.6562 0.0000 0.0000
0.0000 5.6562 0.0000
0.0000 0.0000 3.7497
```

Computed properties:
Its density of states at the Fermi level is 1.66 states/eV per cell. Its total energy is -4.158 eV/atom.

=====

(15)
VASP calculation (GGA+U) on a relaxed structure of Tl3FeSe2O8. Values from VASP.

Quantum ESPRESSO input file:
```
&SYSTEM
  ibrav = 0, nat = 14, ntyp = 4
/
ATOMIC_SPECIES
Tl 204.38 Tl.upf
Fe 55.84 Fe.upf
Se 78.96 Se.upf
O 16.00 O.upf
ATOMIC_POSITIONS angstrom
Tl 0.0000 0.0000 0.0000
Tl 0.0000 3.4160 5.9852
Tl 2.9584 1.7080 1.8904
Fe 0.0000 0.0000 3.9378
Se 0.0000 3.4160 2.3867
Se 2.9584 1.7080 5.4888
O 0.0000 1.6129 2.6734
O -1.5616 4.3176 2.6734
O 1.3968 0.8064 5.2022
O 0.0000 3.4160 0.6988
O 2.9584 1.7080 7.1768
O 1.5616 4.3176 2.6734
O 4.5199 0.8064 5.2022
O 2.9584 3.5112 5.2022
CELL_PARAMETERS angstrom
5.9167 0.0000 0.0000
-2.9584 5.1240 0.0000
0.0000 0.0000 7.8756
```

Computed properties:
Its density of states at the Fermi level is 2.32 states/eV per cell. Its total energy is -4.962 eV/atom.

=====

(16)
VASP calculation (GGA+U) on a relaxed structure of FeSi2O. Values from VASP.

Quantum ESPRESSO input file:
```
&SYSTEM
  ibrav = 0, nat = 8, ntyp = 3
/
ATOMIC_SPECIES
Fe 55.84 Fe.upf
Si 28.09 Si.upf
O 16.00 O.upf
ATOMIC_POSITIONS angstrom
Fe 0.0000 0.0000 0.0000
Fe 0.0000 2.6444 1.6805
Si 1.3222 -1.1008 2.5208
Si 1.5436 1.3222 0.8403
Si 1.3222 3.7452 -0.8403
Si 1.1008 1.3222 4.2013
O 2.6444 0.0000 1.6805
O 0.0000 0.0000 3.3611
CELL_PARAMETERS angstrom
-2.6444 2.6444 3.3611
2.6444 -2.6444 3.3611
2.6444 2.6444 -3.3611
```

Computed properties:
Its density of states at the Fermi level is 0.00 states/eV per cell. Its total energy is -4.966 eV/atom.